Entry 1:
Material: NaSrGa2
Method: DFT, GGA-PBE
State: relaxed

Summary:
**Calculated formation energy**: -0.156 eV per atom
**E**: -2.420 eV/atom

a b c (Å): 5.2987 5.2987 5.2987
angles (deg): 60.00 60.00 60.00
Last column: nearest neighbours and their distance in Å.
Fractional positions:
Sr: 0.5000 0.5000 0.5000  8 Ga 3.24
Ga: 0.2500 0.2500 0.2500  4 Sr 3.24, 4 Na 3.24
Ga: 0.7500 0.7500 0.7500  4 Sr 3.24, 4 Na 3.24
Na: 0.0000 0.0000 0.0000  8 Ga 3.24

---

Entry 2:
Material: CsSr2InNi
Method: DFT, GGA-PBE
State: relaxed

Summary:
**Calculated formation energy**: 0.002 eV per atom
**E**: -2.545 eV/atom

a b c (Å): 5.9796 5.9796 5.2013
angles (deg): 90.00 90.00 90.00
Last column: nearest neighbours and their distance in Å.
Fractional positions:
Cs: 0.5000 0.5000 0.5000  8 Sr 3.96, 4 In 4.23
Sr: 0.0000 0.5000 0.0000  2 Ni 2.99
Sr: 0.5000 0.0000 0.0000  2 Ni 2.99
Ni: 0.0000 0.0000 0.0000  2 In 2.60
In: 0.0000 0.0000 0.5000  2 Ni 2.60

---

Entry 3:
Material: K2SrTe
Method: DFT, GGA-PBE
State: relaxed

Summary:
**E**: -2.316 eV/atom
**ΔE_f (raw)**: -2.2 eV per formula unit

a b c (Å): 5.1995 5.1995 6.3885
angles (deg): 90.00 90.00 90.00
Last column: nearest neighbours and their distance in Å.
Fractional positions:
K: 0.0000 0.0000 0.0000  4 K 3.68
K: 0.5000 0.5000 0.0000  4 K 3.68
Sr: 0.5000 0.0000 0.5000  4 Te 3.68
Te: 0.0000 0.5000 0.5000  4 Sr 3.68